A plane-wave DFT calculation with GGA-PBE was carried out for a geometry-optimized Zn4GePd2 structure.

Lattice parameters (Å, degrees): 2.830 4.122 18.137 90.00 90.00 90.00
Space group Immm (No. 71)
Inequivalent atoms, fractional coordinates:
Zn: 0.000 0.000 0.141
Zn: 0.000 0.500 0.222
Ge: 0.000 0.000 0.000
Pd: 0.000 0.000 0.415

Properties
- E_form (kJ/mol of atoms) = -18.2
- calculated volume (Å³ per cell) = 212